1.
## K3Na5As2 (PBE)

Data for a relaxed K3Na5As2 crystal.

a b c (Å): 6.984 11.085 11.085
angles (deg): 81.23 71.64 71.64
Positions (direct):
Na1 0.072 0.632 0.223
Na2 0.994 0.756 0.756
Na3 0.506 0.244 0.244
Na4 0.928 0.368 0.777
Na5 0.006 0.244 0.244
Na6 0.428 0.777 0.368
Na7 0.494 0.756 0.756
Na8 0.250 0.500 0.500
Na9 0.750 0.500 0.500
Na10 0.572 0.223 0.632
K1 0.250 0.000 0.000
K2 0.327 0.398 0.948
K3 0.173 0.052 0.602
K4 0.750 0.000 0.000
K5 0.673 0.602 0.052
K6 0.827 0.948 0.398
As1 0.841 0.287 0.031
As2 0.341 0.031 0.287
As3 0.159 0.713 0.969
As4 0.659 0.969 0.713

- Fermi-level density of states: 0.37 states/eV per atom
- Formation enthalpy at 0 K: -0.20 eV/atom
- Size of the total moment: 0.0000 μB/atom
- Electronic total energy: -2.12 eV/atom
- Space group: Ibam (72)

=====

2.
## KNaAs2 (PBE)

Data for a relaxed KNaAs2 crystal.

a b c (Å): 5.235 5.235 5.235
angles (deg): 60.00 60.00 60.00
Positions (direct):
As1 0.750 0.750 0.750
As2 0.250 0.250 0.250
K1 0.500 0.500 0.500
Na1 0.000 0.000 0.000

- Fermi-level density of states: 0.60 states/eV per atom
- Energy above the lowest structure with this stoichiometry: 433.5 meV per atom
- Formation enthalpy at 0 K: 0.06 eV/atom
- Size of the total moment: 0.0000 μB/atom
- Electronic total energy: -2.87 eV/atom
- Space group: Fm-3m (225)

=====

3.
## KNa2As2 (PBE)

Data for a relaxed KNa2As2 crystal.

a b c (Å): 9.047 9.047 2.984
angles (deg): 90.00 90.00 90.00
Positions (direct):
As1 0.326 0.174 0.500
As2 0.826 0.326 0.500
As3 0.174 0.674 0.500
As4 0.674 0.826 0.500
K1 0.500 0.500 0.000
K2 0.000 0.000 0.000
Na1 0.378 0.878 0.000
Na2 0.122 0.378 0.000
Na3 0.878 0.622 0.000
Na4 0.622 0.122 0.000

- Fermi-level density of states: 0.43 states/eV per atom
- Energy above the lowest structure with this stoichiometry: 74.8 meV per atom
- Formation enthalpy at 0 K: -0.30 eV/atom
- Size of the total moment: 0.0000 μB/atom
- Electronic total energy: -2.90 eV/atom
- Space group: P4/mbm (127)

=====

4.
## KNa4As4 (PBE)

Data for a relaxed KNa4As4 crystal.

a b c (Å): 5.722 9.425 9.425
angles (deg): 90.00 90.00 90.00
Positions (direct):
K1 0.500 0.500 0.500
K2 0.000 0.000 0.000
As1 0.637 0.855 0.264
As2 0.863 0.355 0.764
As3 0.363 0.736 0.855
As4 0.137 0.764 0.645
As5 0.863 0.645 0.236
As6 0.137 0.236 0.355
As7 0.637 0.145 0.736
As8 0.363 0.264 0.145
Na1 0.144 0.891 0.356
Na2 0.644 0.144 0.391
Na3 0.356 0.391 0.856
Na4 0.644 0.856 0.609
Na5 0.144 0.109 0.644
Na6 0.356 0.609 0.144
Na7 0.856 0.356 0.109
Na8 0.856 0.644 0.891

- Fermi-level density of states: 0.57 states/eV per atom
- Formation enthalpy at 0 K: -0.27 eV/atom
- Size of the total moment: 0.0000 μB/atom
- Electronic total energy: -3.04 eV/atom
- Space group: P4_2/n (86)

=====

5.
## KNa2As2 (PBE)

Data for a relaxed KNa2As2 crystal.

a b c (Å): 4.885 4.885 6.889
angles (deg): 69.23 69.23 90.00
Positions (direct):
K1 0.000 0.000 0.000
As1 0.399 0.399 0.202
As2 0.601 0.601 0.798
Na1 0.250 0.750 0.500
Na2 0.750 0.250 0.500

- Fermi-level density of states: 0.63 states/eV per atom
- Energy above the lowest structure with this stoichiometry: 0.0 meV per atom
- Formation enthalpy at 0 K: -0.37 eV/atom
- Size of the total moment: 0.0000 μB/atom
- Electronic total energy: -2.98 eV/atom
- Space group: I4/mmm (139)

=====

6.
## KNa3As (PBE)

Data for a relaxed KNa3As crystal.

a b c (Å): 8.802 7.533 8.063
angles (deg): 117.85 123.08 90.00
Positions (direct):
Na1 0.750 0.132 0.500
Na2 0.283 0.783 0.065
Na3 0.250 0.868 0.500
Na4 0.783 0.783 0.065
Na5 0.717 0.217 0.935
Na6 0.217 0.217 0.935
K1 0.750 0.583 0.500
K2 0.250 0.417 0.500
As1 0.000 0.500 0.000
As2 0.500 0.000 0.000

- Fermi-level density of states: 0.46 states/eV per atom
- Energy above the lowest structure with this stoichiometry: 0.0 meV per atom
- Formation enthalpy at 0 K: -0.24 eV/atom
- Size of the total moment: 0.0000 μB/atom
- Electronic total energy: -2.18 eV/atom
- Space group: Imma (74)

=====

7.
## KNa3As (PBE)

Data for a relaxed KNa3As crystal.

a b c (Å): 5.760 5.760 5.760
angles (deg): 90.00 90.00 90.00
Positions (direct):
K1 0.500 0.500 0.500
Na1 0.500 0.000 0.000
Na2 0.000 0.500 0.000
Na3 0.000 0.000 0.500
As1 0.000 0.000 0.000

- Fermi-level density of states: 0.77 states/eV per atom
- Energy above the lowest structure with this stoichiometry: 13.3 meV per atom
- Formation enthalpy at 0 K: -0.22 eV/atom
- Size of the total moment: 0.0000 μB/atom
- Electronic total energy: -2.16 eV/atom
- Space group: Pm-3m (221)

=====

8.
## K2NaAs (PBE)

Data for a relaxed K2NaAs crystal.

a b c (Å): 5.368 5.368 10.669
angles (deg): 90.00 90.00 120.00
Positions (direct):
K1 0.667 0.333 0.585
K2 0.333 0.667 0.085
K3 0.333 0.667 0.415
K4 0.667 0.333 0.915
As1 0.667 0.333 0.250
As2 0.333 0.667 0.750
Na1 0.000 0.000 0.750
Na2 0.000 0.000 0.250

- Fermi-level density of states: 0.23 states/eV per atom
- Formation enthalpy at 0 K: -0.38 eV/atom
- Size of the total moment: 0.0000 μB/atom
- Electronic total energy: -2.42 eV/atom
- Space group: P6_3/mmc (194)

=====

9.
## K2Na2As3 (PBE)

Data for a relaxed K2Na2As3 crystal.

a b c (Å): 4.928 6.674 7.368
angles (deg): 117.96 90.00 111.66
Positions (direct):
Na1 0.856 0.713 0.718
Na2 0.144 0.287 0.282
K1 0.852 0.704 0.209
K2 0.148 0.296 0.791
As1 0.574 0.147 0.434
As2 0.426 0.853 0.566
As3 0.500 0.000 0.000

- Fermi-level density of states: 0.30 states/eV per atom
- Formation enthalpy at 0 K: -0.36 eV/atom
- Size of the total moment: 0.0000 μB/atom
- Electronic total energy: -3.04 eV/atom
- Space group: C2/m (12)

=====

10.
## KNa3As (PBE)

Data for a relaxed KNa3As crystal.

a b c (Å): 5.706 5.706 5.706
angles (deg): 90.00 90.00 90.00
Positions (direct):
Na1 0.000 0.000 0.500
Na2 0.500 0.000 0.000
Na3 0.000 0.500 0.000
K1 0.000 0.000 0.000
As1 0.500 0.500 0.500

- Fermi-level density of states: 0.60 states/eV per atom
- Energy above the lowest structure with this stoichiometry: 878.9 meV per atom
- Formation enthalpy at 0 K: 0.64 eV/atom
- Size of the total moment: 0.0000 μB/atom
- Electronic total energy: -1.30 eV/atom
- Space group: Pm-3m (221)

=====

11.
## K3Na7As4 (PBE)

Data for a relaxed K3Na7As4 crystal.

a b c (Å): 5.069 9.431 9.607
angles (deg): 77.01 74.70 74.41
Positions (direct):
Na1 0.514 0.734 0.238
Na2 0.832 0.433 0.902
Na3 0.000 0.000 0.000
Na4 0.309 0.855 0.526
Na5 0.168 0.567 0.098
Na6 0.486 0.266 0.762
Na7 0.691 0.145 0.474
As1 0.093 0.122 0.691
As2 0.679 0.414 0.229
As3 0.321 0.586 0.771
As4 0.907 0.878 0.309
K1 0.696 0.835 0.773
K2 0.304 0.165 0.227
K3 0.000 0.500 0.500

- Fermi-level density of states: 0.81 states/eV per atom
- Formation enthalpy at 0 K: -0.31 eV/atom
- Size of the total moment: 0.1363 μB/atom
- Electronic total energy: -2.54 eV/atom
- Space group: C2/m (12)

=====

12.
## KNaAs2 (PBE)

Data for a relaxed KNaAs2 crystal.

a b c (Å): 4.461 9.049 11.780
angles (deg): 90.00 90.00 90.00
Positions (direct):
K1 0.750 0.888 0.128
K2 0.250 0.112 0.872
K3 0.250 0.612 0.628
K4 0.750 0.388 0.372
Na1 0.250 0.521 0.120
Na2 0.250 0.021 0.380
Na3 0.750 0.479 0.880
Na4 0.750 0.979 0.620
As1 0.750 0.805 0.836
As2 0.750 0.774 0.417
As3 0.250 0.695 0.336
As4 0.250 0.726 0.917
As5 0.250 0.226 0.583
As6 0.750 0.274 0.083
As7 0.750 0.305 0.664
As8 0.250 0.195 0.164

- Fermi-level density of states: 0.38 states/eV per atom
- Energy above the lowest structure with this stoichiometry: 0.0 meV per atom
- Formation enthalpy at 0 K: -0.38 eV/atom
- Size of the total moment: 0.0000 μB/atom
- Electronic total energy: -3.31 eV/atom
- Space group: Pnma (62)